# 1
A plane-wave DFT calculation with PBE was carried out for a relaxed NaScPb2 crystal.

a b c (Å): 10.2806 10.2806 10.2806
angles (deg): 19.95 19.95 19.95
Fractional coordinates of all 4 atoms:
1 Na 0.0000 0.0000 0.0000
2 Sc 0.5000 0.5000 0.5000
3 Pb 0.2466 0.2466 0.2466
4 Pb 0.7534 0.7534 0.7534

Computed properties:
energy of formation from the pure elements = -0.201 eV/atom
theoretical density = 7.24 Mg/m³
magnetic moment = 0.0 μB per formula unit
SG = No. 166
volume = 27.66 A^3/atom

***

# 2
A plane-wave DFT calculation with PBE was carried out for a relaxed NaScPb crystal.

a b c (Å): 4.5575 4.1110 8.5836
angles (deg): 90.00 105.32 90.00
Fractional coordinates of all 6 atoms:
1 Na 0.0000 0.0000 0.0000
2 Na 0.5000 0.5000 0.0000
3 Sc 0.1777 0.5000 0.3537
4 Sc 0.8223 0.5000 0.6463
5 Pb 0.3372 0.0000 0.6763
6 Pb 0.6628 0.0000 0.3237

Computed properties:
energy of formation from the pure elements = -0.176 eV/atom
theoretical density = 5.89 Mg/m³
magnetic moment = 0.0 μB per formula unit
SG = No. 10
E above lowest polymorph = 80 meV per atom
volume = 25.85 A^3/atom

***

# 3
A plane-wave DFT calculation with PBE was carried out for a relaxed Na2ScPb3 crystal.

a b c (Å): 8.2943 8.2943 7.9286
angles (deg): 90.00 90.00 142.96
Fractional coordinates of all 12 atoms:
1 Na 0.0000 0.0000 0.0000
2 Na 0.0000 0.0000 0.5000
3 Na 0.3377 0.6623 0.0000
4 Na 0.6623 0.3377 0.0000
5 Sc 0.3373 0.6627 0.5000
6 Sc 0.6627 0.3373 0.5000
7 Pb 0.1699 0.8301 0.2687
8 Pb 0.1699 0.8301 0.7313
9 Pb 0.5000 0.5000 0.2700
10 Pb 0.5000 0.5000 0.7300
11 Pb 0.8301 0.1699 0.2687
12 Pb 0.8301 0.1699 0.7313

Computed properties:
energy of formation from the pure elements = -0.208 eV/atom
theoretical density = 7.20 Mg/m³
magnetic moment = 0.0 μB per formula unit
SG = No. 65
volume = 27.38 A^3/atom

***

# 4
A plane-wave DFT calculation with PBE was carried out for a relaxed NaScPb3 crystal.

a b c (Å): 5.6618 5.6618 5.6618
angles (deg): 90.00 90.00 90.00
Fractional coordinates of all 5 atoms:
1 Na 0.0000 0.0000 0.0000
2 Sc 0.5000 0.5000 0.5000
3 Pb 0.0000 0.5000 0.5000
4 Pb 0.5000 0.0000 0.5000
5 Pb 0.5000 0.5000 0.0000

Computed properties:
energy of formation from the pure elements = 0.097 eV/atom
theoretical density = 6.31 Mg/m³
magnetic moment = 0.0 μB per formula unit
SG = No. 221
E above lowest polymorph = 0 meV per atom
volume = 36.30 A^3/atom

***

# 5
A plane-wave DFT calculation with PBE was carried out for a relaxed NaScPb crystal.

a b c (Å): 3.5888 4.7459 9.0788
angles (deg): 90.00 90.00 90.00
Fractional coordinates of all 6 atoms:
1 Na 0.2500 0.2500 0.0429
2 Na 0.7500 0.7500 0.9571
3 Sc 0.2500 0.7500 0.6055
4 Sc 0.7500 0.2500 0.3945
5 Pb 0.2500 0.7500 0.2749
6 Pb 0.7500 0.2500 0.7251

Computed properties:
energy of formation from the pure elements = -0.219 eV/atom
theoretical density = 5.91 Mg/m³
magnetic moment = 0.0 μB per formula unit
SG = No. 59
E above lowest polymorph = 38 meV per atom
volume = 25.77 A^3/atom

***

# 6
A plane-wave DFT calculation with PBE was carried out for a relaxed NaSc2Pb5 crystal.

a b c (Å): 6.5570 6.5570 6.5570
angles (deg): 107.06 107.06 114.40
Fractional coordinates of all 8 atoms:
1 Na 0.0000 0.0000 0.0000
2 Sc 0.0004 0.5004 0.5000
3 Sc 0.5004 0.0004 0.5000
4 Pb 0.0005 0.0005 0.5003
5 Pb 0.0005 0.5002 0.0000
6 Pb 0.5002 0.0005 0.0000
7 Pb 0.5002 0.5002 0.4997
8 Pb 0.5008 0.5008 0.0000

Computed properties:
energy of formation from the pure elements = -0.170 eV/atom
theoretical density = 8.84 Mg/m³
magnetic moment = 0.0 μB per formula unit
SG = No. 107
volume = 26.97 A^3/atom

***

# 7
A plane-wave DFT calculation with PBE was carried out for a relaxed NaScPb crystal.

a b c (Å): 5.0393 5.0393 6.7556
angles (deg): 90.00 90.00 119.93
Fractional coordinates of all 6 atoms:
1 Na 0.1664 0.8336 0.7500
2 Na 0.8336 0.1664 0.2500
3 Sc 0.5000 0.5000 0.0000
4 Sc 0.5000 0.5000 0.5000
5 Pb 0.1672 0.8328 0.2500
6 Pb 0.8328 0.1672 0.7500

Computed properties:
energy of formation from the pure elements = -0.126 eV/atom
theoretical density = 6.15 Mg/m³
magnetic moment = 0.0 μB per formula unit
SG = No. 63
E above lowest polymorph = 130 meV per atom
volume = 24.78 A^3/atom

***

# 8
A plane-wave DFT calculation with PBE was carried out for a relaxed NaScPb crystal.

a b c (Å): 6.1145 6.1145 6.1145
angles (deg): 119.48 113.21 96.53
Fractional coordinates of all 6 atoms:
1 Na 0.3850 0.1350 0.2500
2 Na 0.6150 0.8650 0.7500
3 Sc 0.0000 0.0000 0.5000
4 Sc 0.0000 0.5000 0.0000
5 Pb 0.0000 0.5000 0.5000
6 Pb 0.5000 0.5000 0.0000

Computed properties:
energy of formation from the pure elements = -0.102 eV/atom
theoretical density = 5.41 Mg/m³
magnetic moment = 0.0 μB per formula unit
SG = No. 74
E above lowest polymorph = 154 meV per atom
volume = 28.14 A^3/atom

***

# 9
A plane-wave DFT calculation with PBE was carried out for a relaxed NaScPb crystal.

a b c (Å): 5.0914 5.0914 3.4364
angles (deg): 90.00 90.00 120.00
Fractional coordinates of all 3 atoms:
1 Na 0.0000 0.0000 0.0000
2 Sc 0.3333 0.6667 0.4074
3 Pb 0.6667 0.3333 0.7078

Computed properties:
energy of formation from the pure elements = -0.065 eV/atom
theoretical density = 5.92 Mg/m³
magnetic moment = 0.0 μB per formula unit
SG = No. 156
E above lowest polymorph = 192 meV per atom
volume = 25.71 A^3/atom

***

# 10
A plane-wave DFT calculation with PBE was carried out for a relaxed NaScPb crystal.

a b c (Å): 7.0848 7.0848 5.1868
angles (deg): 90.00 90.00 139.06
Fractional coordinates of all 6 atoms:
1 Na 0.0662 0.9338 0.7500
2 Na 0.9338 0.0662 0.2500
3 Sc 0.2492 0.7508 0.2500
4 Sc 0.7508 0.2492 0.7500
5 Pb 0.3690 0.6310 0.7500
6 Pb 0.6310 0.3690 0.2500

Computed properties:
energy of formation from the pure elements = -0.155 eV/atom
theoretical density = 5.36 Mg/m³
magnetic moment = 0.0 μB per formula unit
SG = No. 63
E above lowest polymorph = 102 meV per atom
volume = 28.43 A^3/atom

***

# 11
A plane-wave DFT calculation with PBE was carried out for a relaxed NaSc2Pb2 crystal.

a b c (Å): 8.8947 8.8947 3.3665
angles (deg): 90.00 90.00 90.00
Fractional coordinates of all 10 atoms:
1 Na 0.0000 0.0000 0.0000
2 Na 0.5000 0.5000 0.0000
3 Sc 0.1306 0.3694 0.5000
4 Sc 0.3694 0.8694 0.5000
5 Sc 0.6306 0.1306 0.5000
6 Sc 0.8694 0.6306 0.5000
7 Pb 0.1668 0.6668 0.0000
8 Pb 0.3332 0.1668 0.0000
9 Pb 0.6668 0.8332 0.0000
10 Pb 0.8332 0.3332 0.0000

Computed properties:
energy of formation from the pure elements = -0.270 eV/atom
theoretical density = 6.58 Mg/m³
magnetic moment = 0.5 μB per formula unit
SG = No. 127
E above lowest polymorph = 0 meV per atom
volume = 26.63 A^3/atom

***

# 12
A plane-wave DFT calculation with PBE was carried out for a relaxed NaScPb crystal.

a b c (Å): 3.3722 4.4401 10.7769
angles (deg): 90.00 90.06 90.00
Fractional coordinates of all 6 atoms:
1 Na 0.0000 0.0000 0.0000
2 Na 0.4979 0.5000 0.1815
3 Sc 0.0012 0.0000 0.6781
4 Sc 0.9985 0.0000 0.3820
5 Pb 0.4994 0.5000 0.5103
6 Pb 0.5019 0.5000 0.8250

Computed properties:
energy of formation from the pure elements = -0.120 eV/atom
theoretical density = 5.66 Mg/m³
magnetic moment = 0.2 μB per formula unit
SG = No. 6
E above lowest polymorph = 136 meV per atom
volume = 26.89 A^3/atom

***

# 13
A plane-wave DFT calculation with PBE was carried out for a relaxed NaSc2Pb crystal.

a b c (Å): 11.7214 11.7214 11.7214
angles (deg): 16.44 16.44 16.44
Fractional coordinates of all 4 atoms:
1 Na 0.0000 0.0000 0.0000
2 Sc 0.0941 0.0941 0.0941
3 Sc 0.9059 0.9059 0.9059
4 Pb 0.5000 0.5000 0.5000

Computed properties:
energy of formation from the pure elements = 0.144 eV/atom
theoretical density = 4.73 Mg/m³
magnetic moment = 0.8 μB per formula unit
SG = No. 166
volume = 28.11 A^3/atom

***

# 14
A plane-wave DFT calculation with PBE was carried out for a relaxed NaScPb crystal.

a b c (Å): 5.2574 5.2574 6.2535
angles (deg): 90.00 90.00 120.00
Fractional coordinates of all 6 atoms:
1 Na 0.0000 0.0000 0.0000
2 Na 0.0000 0.0000 0.5000
3 Sc 0.3333 0.6667 0.2500
4 Sc 0.6667 0.3333 0.7500
5 Pb 0.3333 0.6667 0.7500
6 Pb 0.6667 0.3333 0.2500

Computed properties:
energy of formation from the pure elements = -0.257 eV/atom
theoretical density = 6.10 Mg/m³
magnetic moment = 0.0 μB per formula unit
SG = No. 194
E above lowest polymorph = 0 meV per atom
volume = 24.95 A^3/atom

***

# 15
A plane-wave DFT calculation with PBE was carried out for a relaxed NaScPb crystal.

a b c (Å): 5.5085 5.5085 11.2240
angles (deg): 90.00 90.00 120.00
Fractional coordinates of all 6 atoms:
1 Na 0.3333 0.6667 0.2500
2 Na 0.6667 0.3333 0.7500
3 Sc 0.0000 0.0000 0.2500
4 Sc 0.0000 0.0000 0.7500
5 Pb 0.0000 0.0000 0.0000
6 Pb 0.0000 0.0000 0.5000

Computed properties:
energy of formation from the pure elements = 0.958 eV/atom
theoretical density = 3.10 Mg/m³
magnetic moment = 0.0 μB per formula unit
SG = No. 194
E above lowest polymorph = 1215 meV per atom
volume = 49.16 A^3/atom

***

# 16
A plane-wave DFT calculation with PBE was carried out for a relaxed NaScPb4 crystal.

a b c (Å): 3.4079 3.4385 14.9532
angles (deg): 90.00 90.34 90.00
Fractional coordinates of all 6 atoms:
1 Na 0.0000 0.0000 0.0000
2 Sc 0.0000 0.5000 0.5000
3 Pb 0.4978 0.0000 0.3597
4 Pb 0.4994 0.5000 0.1671
5 Pb 0.5006 0.5000 0.8329
6 Pb 0.5022 0.0000 0.6403

Computed properties:
energy of formation from the pure elements = -0.079 eV/atom
theoretical density = 8.50 Mg/m³
magnetic moment = 0.0 μB per formula unit
SG = No. 10
volume = 29.20 A^3/atom

***

# 17
A plane-wave DFT calculation with PBE was carried out for a relaxed Na3ScPb crystal.

a b c (Å): 5.8544 5.8544 5.8544
angles (deg): 90.00 90.00 90.00
Fractional coordinates of all 5 atoms:
1 Na 0.0000 0.0000 0.5000
2 Na 0.0000 0.5000 0.0000
3 Na 0.5000 0.0000 0.0000
4 Sc 0.0000 0.0000 0.0000
5 Pb 0.5000 0.5000 0.5000

Computed properties:
energy of formation from the pure elements = 0.894 eV/atom
theoretical density = 2.66 Mg/m³
magnetic moment = 1.5 μB per formula unit
SG = No. 221
E above lowest polymorph = 314 meV per atom
volume = 40.13 A^3/atom

***

# 18
A plane-wave DFT calculation with PBE was carried out for a relaxed NaScPb crystal.

a b c (Å): 5.0356 5.0356 7.4152
angles (deg): 90.00 90.00 90.00
Fractional coordinates of all 6 atoms:
1 Na 0.2500 0.2500 0.1457
2 Na 0.7500 0.7500 0.8543
3 Sc 0.2500 0.7500 0.5000
4 Sc 0.7500 0.2500 0.5000
5 Pb 0.2500 0.2500 0.7098
6 Pb 0.7500 0.7500 0.2902

Computed properties:
energy of formation from the pure elements = -0.176 eV/atom
theoretical density = 4.86 Mg/m³
magnetic moment = 0.0 μB per formula unit
SG = No. 129
E above lowest polymorph = 81 meV per atom
volume = 31.34 A^3/atom

***

# 19
A plane-wave DFT calculation with PBE was carried out for a relaxed NaScPb crystal.

a b c (Å): 4.3511 7.4189 7.4189
angles (deg): 39.78 90.00 90.00
Fractional coordinates of all 6 atoms:
1 Na 0.0000 0.0000 0.0000
2 Na 0.5000 0.1661 0.1661
3 Sc 0.5000 0.4974 0.4974
4 Sc 0.5000 0.8173 0.8173
5 Pb 0.0000 0.3469 0.3469
6 Pb 0.0000 0.6579 0.6579

Computed properties:
energy of formation from the pure elements = -0.106 eV/atom
theoretical density = 5.96 Mg/m³
magnetic moment = 0.0 μB per formula unit
SG = No. 38
E above lowest polymorph = 151 meV per atom
volume = 25.54 A^3/atom

***

# 20
A plane-wave DFT calculation with PBE was carried out for a relaxed NaScPb crystal.

a b c (Å): 6.8806 4.7651 9.4021
angles (deg): 90.00 90.00 90.00
Fractional coordinates of all 12 atoms:
1 Na 0.1460 0.2500 0.0416
2 Na 0.3540 0.7500 0.5416
3 Na 0.6460 0.2500 0.4584
4 Na 0.8540 0.7500 0.9584
5 Sc 0.0655 0.2500 0.6817
6 Sc 0.4345 0.7500 0.1817
7 Sc 0.5655 0.2500 0.8183
8 Sc 0.9345 0.7500 0.3183
9 Pb 0.1963 0.2500 0.3621
10 Pb 0.3037 0.7500 0.8621
11 Pb 0.6963 0.2500 0.1379
12 Pb 0.8037 0.7500 0.6379

Computed properties:
energy of formation from the pure elements = -0.170 eV/atom
theoretical density = 5.93 Mg/m³
magnetic moment = 0.0 μB per formula unit
SG = No. 62
E above lowest polymorph = 87 meV per atom
volume = 25.69 A^3/atom

***

# 21
A plane-wave DFT calculation with PBE was carried out for a relaxed Na3ScPb crystal.

a b c (Å): 5.7780 5.7780 5.7780
angles (deg): 90.00 90.00 90.00
Fractional coordinates of all 5 atoms:
1 Na 0.0000 0.0000 0.5000
2 Na 0.0000 0.5000 0.0000
3 Na 0.5000 0.0000 0.0000
4 Sc 0.5000 0.5000 0.5000
5 Pb 0.0000 0.0000 0.0000

Computed properties:
energy of formation from the pure elements = 0.580 eV/atom
theoretical density = 2.76 Mg/m³
magnetic moment = 1.0 μB per formula unit
SG = No. 221
E above lowest polymorph = 0 meV per atom
volume = 38.58 A^3/atom

***

# 22
A plane-wave DFT calculation with PBE was carried out for a relaxed Na2ScPb crystal.

a b c (Å): 6.9757 6.9757 6.9757
angles (deg): 100.64 100.64 129.10
Fractional coordinates of all 8 atoms:
1 Na 0.1042 0.6250 0.9792
2 Na 0.3750 0.3542 0.4792
3 Na 0.6458 0.1250 0.0208
4 Na 0.8750 0.8958 0.5208
5 Sc 0.2500 0.7500 0.5000
6 Sc 0.5000 0.5000 0.0000
7 Pb 0.0000 0.0000 0.0000
8 Pb 0.7500 0.2500 0.5000

Computed properties:
energy of formation from the pure elements = 0.233 eV/atom
theoretical density = 4.16 Mg/m³
magnetic moment = 0.7 μB per formula unit
SG = No. 122
volume = 29.73 A^3/atom

***

# 23
A plane-wave DFT calculation with PBE was carried out for a relaxed NaScPb crystal.

a b c (Å): 5.0668 5.0668 6.9151
angles (deg): 90.00 90.00 120.00
Fractional coordinates of all 6 atoms:
1 Na 0.0000 0.0000 0.0000
2 Na 0.3333 0.6667 0.8226
3 Sc 0.3333 0.6667 0.3072
4 Sc 0.6667 0.3333 0.5739
5 Pb 0.0000 0.0000 0.5280
6 Pb 0.6667 0.3333 0.1111

Computed properties:
energy of formation from the pure elements = -0.184 eV/atom
theoretical density = 5.94 Mg/m³
magnetic moment = 0.0 μB per formula unit
SG = No. 156
E above lowest polymorph = 73 meV per atom
volume = 25.62 A^3/atom

***

# 24
A plane-wave DFT calculation with PBE was carried out for a relaxed NaScPb crystal.

a b c (Å): 13.2331 13.2331 13.2331
angles (deg): 163.93 163.93 22.80
Fractional coordinates of all 6 atoms:
1 Na 0.0682 0.0682 0.0000
2 Na 0.9318 0.9318 0.0000
3 Sc 0.2158 0.2158 0.0000
4 Sc 0.7842 0.7842 0.0000
5 Pb 0.3517 0.3517 0.0000
6 Pb 0.6483 0.6483 0.0000

Computed properties:
energy of formation from the pure elements = -0.171 eV/atom
theoretical density = 5.15 Mg/m³
magnetic moment = 0.5 μB per formula unit
SG = No. 139
E above lowest polymorph = 86 meV per atom
volume = 29.58 A^3/atom

***

# 25
A plane-wave DFT calculation with PBE was carried out for a relaxed NaScPb crystal.

a b c (Å): 5.6172 5.6172 7.4060
angles (deg): 109.34 109.34 47.20
Fractional coordinates of all 6 atoms:
1 Na 0.1580 0.1580 0.0716
2 Na 0.8420 0.8420 0.9284
3 Sc 0.1543 0.1543 0.5557
4 Sc 0.8457 0.8457 0.4443
5 Pb 0.4943 0.4943 0.7195
6 Pb 0.5057 0.5057 0.2805

Computed properties:
energy of formation from the pure elements = -0.139 eV/atom
theoretical density = 5.72 Mg/m³
magnetic moment = 0.0 μB per formula unit
SG = No. 12
E above lowest polymorph = 117 meV per atom
volume = 26.65 A^3/atom

***

# 26
A plane-wave DFT calculation with PBE was carried out for a relaxed Na2ScPbSe4 crystal.

a b c (Å): 7.1489 4.0559 7.4257
angles (deg): 90.00 108.54 90.00
Fractional coordinates of all 8 atoms:
1 Na 0.0000 0.0000 0.0000
2 Na 0.5000 0.5000 0.0000
3 Sc 0.0000 0.5000 0.5000
4 Pb 0.5000 0.0000 0.5000
5 Se 0.2240 0.0000 0.7210
6 Se 0.2324 0.5000 0.2689
7 Se 0.7676 0.5000 0.7311
8 Se 0.7760 0.0000 0.2790

Computed properties:
theoretical density = 4.99 Mg/m³
magnetic moment = 0.0 μB per formula unit
SG = No. 10
E = -4.42 eV/atom
volume = 25.52 A^3/atom